The following is a DFT calculation (PBE+U) of a geometry-optimized SrSmNiO4 structure.

Unit cell a=6.7343 b=6.7343 c=5.3966 alpha=90.00 beta=90.00 gamma=133.03
With the nearest neighbours (Å) after each atom.
Fractional positions:
Sr1 0.1049 0.8951 0.7500  5 O 2.40-2.61
Sr2 0.8951 0.1049 0.2500  5 O 2.40-2.61
Sm1 0.3846 0.6154 0.7500  5 O 2.32-2.53
Sm2 0.6154 0.3846 0.2500  5 O 2.32-2.53
Ni1 0.2503 0.7497 0.2500  5 O 1.90-1.99
Ni2 0.7497 0.2503 0.7500  5 O 1.90-1.99
O1 0.0000 0.5000 0.0000  2 Ni 1.90
O2 0.0000 0.5000 0.5000  2 Ni 1.90
O3 0.0893 0.9107 0.2500  1 Ni 1.99
O4 0.4276 0.5724 0.2500  1 Ni 2.19, 1 Sm 2.32
O5 0.5000 0.0000 0.0000  2 Ni 1.90
O6 0.5000 0.0000 0.5000  2 Ni 1.90
O7 0.5724 0.4276 0.7500  1 Ni 2.19, 1 Sm 2.32
O8 0.9107 0.0893 0.7500  1 Ni 1.99

Properties
- Mass density: 6.7 g/cm3
- Excess energy over the best structure of this formula in the dataset: 0.142 eV per formula unit